Entry 1:
Below is an optimized crystal structure of Tm4ThPb5, with properties calculated at the PBE level.

ΔE to the lowest computed polymorph	97	meV per atom
E	-4.637	eV/atom

Lattice parameters (Å, degrees): 9.9247 9.9247 6.2990 90.00 90.00 90.00
Closest atoms and distances in Å follow each position.
Space group I4 (No. 79)
Symmetry-distinct sites (fractional):
Tm (0.1045, 0.7042, 0.0000)  6 Pb 3.11-3.15
Th (0.0000, 0.0000, 0.5012)  6 Pb 3.15-3.22
Pb (0.0000, 0.0000, 0.0012)  4 Tm 3.11, 2 Th 3.15
Pb (0.0984, 0.6908, 0.5000)  5 Tm 3.11-3.15, 1 Th 3.22


Entry 2:
Below is an optimized crystal structure of Tm2Th3Pb4, with properties calculated at the PBE level.

E	-5.395	eV/atom

Lattice parameters (Å, degrees): 15.9443 5.0787 7.0643 90.00 104.77 90.00
Closest atoms and distances in Å follow each position.
Space group C2/m (No. 12)
Symmetry-distinct sites (fractional):
Tm (0.1657, 0.0000, 0.0514)  5 Pb 3.07-3.30
Th (0.0000, 0.5000, 0.0000)  4 Pb 3.25, 4 Tm 3.62
Th (0.1189, 0.5000, 0.5990)  7 Pb 3.28-3.51
Pb (0.0138, 0.0000, 0.2927)  1 Pb 3.07, 2 Th 3.25, 2 Tm 3.25-3.30
Pb (0.2366, 0.5000, 0.2800)  3 Tm 3.07-3.13, 3 Th 3.28-3.39


Entry 3:
Below is an optimized crystal structure of Th2UPb, with properties calculated at the PBE level.

E	-6.929	eV/atom

Lattice parameters (Å, degrees): 3.9126 3.9126 26.0331 90.00 90.00 120.00
Closest atoms and distances in Å follow each position.
Space group R-3m (No. 166, hexagonal axes)
Symmetry-distinct sites (fractional):
Th (0.0000, 0.0000, 0.2333)  3 U 2.85
U (0.0000, 0.0000, 0.5000)  6 Th 2.85
Pb (0.0000, 0.0000, 0.0000)  6 Th 3.45


Entry 4:
Below is an optimized crystal structure of YTh3Pb4, with properties calculated at the PBE level.

E	-5.737	eV/atom

Lattice parameters (Å, degrees): 6.4463 6.4463 12.8785 90.00 90.00 90.00
Closest atoms and distances in Å follow each position.
Space group I4/mmm (No. 139)
Symmetry-distinct sites (fractional):
Y (0.0000, 0.0000, 0.0000)  6 Pb 3.19-3.22
Th (0.0000, 0.0000, 0.5000)  6 Pb 3.22-3.25
Th (0.0000, 0.5000, 0.2500)  6 Pb 3.22
Pb (0.0000, 0.0000, 0.2478)  1 Y 3.19, 5 Th 3.22-3.25
Pb (0.0000, 0.5000, 0.0000)  4 Th 3.22, 2 Y 3.22


Entry 5:
Below is an optimized crystal structure of YThPb, with properties calculated at the PBE level.

E	-5.921	eV/atom

Lattice parameters (Å, degrees): 5.4674 5.4674 3.6091 90.00 90.00 120.00
Closest atoms and distances in Å follow each position.
Space group P3m1 (No. 156)
Symmetry-distinct sites (fractional):
Y (0.0000, 0.0000, 0.0000)  3 Pb 3.23, 3 Th 3.60, 2 Y 3.61
Th (0.6667, 0.3333, 0.5224)  3 Pb 3.38, 6 Y 3.60-3.68, 2 Th 3.61
Pb (0.3333, 0.6667, 0.1909)  3 Y 3.23, 3 Th 3.38, 2 Pb 3.61


Entry 6:
Below is an optimized crystal structure of Y2ThPb, with properties calculated at the PBE level.

ΔE to the lowest computed polymorph	269	meV per atom
E	-5.981	eV/atom

Lattice parameters (Å, degrees): 3.5728 3.5728 35.8132 90.00 90.00 120.00
Closest atoms and distances in Å follow each position.
Space group R-3m (No. 166, hexagonal axes)
Symmetry-distinct sites (fractional):
Y (0.0000, 0.0000, 0.0886)  1 Pb 3.17, 3 Th 3.47
Th (0.0000, 0.0000, 0.5000)  6 Y 3.47, 6 Th 3.57
Pb (0.0000, 0.0000, 0.0000)  2 Y 3.17